No. 1
Zn2BRh: relaxed, PBE.

Cell lengths 3.332, 3.332, 18.780 Å; angles 90.00, 90.00, 90.00 degrees
Space group I-42d (No. 122)
Asymmetric unit:
Zn  0.249  0.250  0.125 x8
B  0.000  0.000  0.000 x4
Rh  0.000  0.000  0.500 x4

Results
**Raw total energy**: -14.83 eV/f.u.
**M_tot**: 0.00 μB/f.u.
**Density**: 7.8 Mg/m³
**D(E_F)**: 0.5000 states/eV per atom
**Energy of formation**: 42.2 kJ per mole of atoms

=====

No. 2
ZrTc2NiH: relaxed, PBE.

Cell lengths 3.972, 3.972, 4.002 Å; angles 90.00, 90.00, 90.00 degrees
Space group P4/mmm (No. 123)
Asymmetric unit:
Zr  0.000  0.000  0.000 x1
Tc  0.000  0.500  0.500 x2
Ni  0.500  0.500  0.000 x1
H  0.500  0.500  0.500 x1

Results
**Raw total energy**: -38.90 eV/f.u.
**M_tot**: 0.00 μB/f.u.
**Density**: 9.1 Mg/m³
**D(E_F)**: 0.8695 states/eV per atom